[1]
DFT (PBEsol) results for a relaxed structure of BeSb2P.

```
BeSb2P
1.0
-0.9294 0.1293 -3.9530
-0.2893 -4.0185 0.5226
-4.7606 0.4903 1.1353
Sb P Be
2 1 1
direct
0.6797 0.3203 0.5000 Sb
0.0715 0.9285 0.0000 Sb
0.2525 0.7475 0.5000 P
0.4963 0.5037 0.0000 Be
```

Computed properties:
**Uncorrected formation energy**: 0.290 eV per atom
**Offset from the most stable computed form**: 23.2 meV per atom
**Calculated density**: 5.86 g cm⁻³

---

[2]
DFT (PBEsol) results for a relaxed structure of BeSbP2.

```
BeSbP2
1.0
3.2720 0.0000 0.0000
0.0000 4.4685 0.0000
0.0000 0.0000 4.4685
P Sb Be
2 1 1
direct
0.0000 0.5000 0.0000 P
0.0000 0.0000 0.5000 P
0.5000 0.5000 0.5000 Sb
0.5000 0.0000 0.0000 Be
```

Computed properties:
**Uncorrected formation energy**: 0.668 eV per atom
**Calculated density**: 4.90 g cm⁻³

---

[3]
DFT (PBEsol) results for a relaxed structure of BeSb2P.

```
BeSb2P
1.0
3.7061 0.0000 0.0000
0.0000 3.9409 0.0000
0.0000 0.0000 5.4419
Sb P Be
2 1 1
direct
0.0000 0.0000 0.0000 Sb
0.0000 0.5000 0.5000 Sb
0.5000 0.0000 0.5000 P
0.5000 0.5000 0.0000 Be
```

Computed properties:
**Uncorrected formation energy**: 0.574 eV per atom
**Offset from the most stable computed form**: 307.8 meV per atom
**Calculated density**: 5.92 g cm⁻³

---

[4]
DFT (PBEsol) results for a relaxed structure of ScBe2P2.

```
ScBe2P2
1.0
-1.2511 2.0836 2.3795
1.5722 -1.8106 2.4122
4.4754 3.2203 -2.8977
Be Sc P
2 1 2
direct
0.7500 0.2500 0.5000 Be
0.2500 0.7500 0.5000 Be
0.0000 0.0000 0.0000 Sc
0.3713 0.3713 0.7425 P
0.6287 0.6287 0.2575 P
```

Computed properties:
**Formation energy from the elements**: -0.57 eV per atom
**Calculated density**: 3.12 g cm⁻³

---

[5]
DFT (PBEsol) results for a relaxed structure of Sc3BeP.

```
Sc3BeP
1.0
-4.3863 1.9703 -0.1118
-1.5153 -3.5372 -2.8855
-1.2642 -2.5962 3.8465
P Sc Be
1 3 1
direct
0.0000 0.0000 0.0000 P
0.0000 0.5000 0.0000 Sc
0.5000 0.0000 0.0000 Sc
0.0000 0.0000 0.5000 Sc
0.5000 0.5000 0.5000 Be
```

Computed properties:
**Formation energy from the elements**: -0.18 eV per atom
**Calculated density**: 2.61 g cm⁻³

---

[6]
DFT (PBEsol) results for a relaxed structure of ScBe2P.

```
ScBe2P
1.0
3.4237 0.0000 0.0000
-1.7119 3.3661 -0.0132
0.0000 -1.7358 4.4477
Be P Sc
2 1 1
direct
0.0172 0.0344 0.1279 Be
0.7392 0.4783 0.2223 Be
0.4841 0.9682 0.3865 P
0.2595 0.5191 0.7633 Sc
```

Computed properties:
**Formation energy from the elements**: -0.43 eV per atom
**Calculated density**: 3.05 g cm⁻³